A relaxed structure of Sc2SiTe. Source: Alexandria, functional GGA-PBE.

Lattice parameters (Å, degrees): 6.322 6.322 12.817 90.00 90.00 90.00
Fractional positions:
Sc  0.209  0.250  0.125
Sc  0.250  0.709  0.375
Sc  0.250  0.791  0.875
Sc  0.291  0.250  0.625
Sc  0.709  0.750  0.625
Sc  0.750  0.209  0.875
Sc  0.750  0.291  0.375
Sc  0.791  0.750  0.125
Si  0.000  0.000  0.000
Si  0.000  0.500  0.250
Si  0.500  0.000  0.750
Si  0.500  0.500  0.500
Te  0.000  0.000  0.500
Te  0.000  0.500  0.750
Te  0.500  0.000  0.250
Te  0.500  0.500  0.000

Computed properties:
- Fermi-level density of states: 0.0 states/eV/f.u.
- E_form (uncorrected): -39 kJ per mole of atoms
- V: 32.01 A^3/atom
- ΔE to the lowest computed polymorph: 536 meV per atom

A relaxed structure of Sc3SiTe2. Source: Alexandria, functional GGA-PBE.

Lattice parameters (Å, degrees): 7.019 7.019 7.114 99.45 99.45 120.02
Fractional positions:
Sc  0.068  0.425  0.777
Sc  0.215  0.215  0.217
Sc  0.425  0.068  0.777
Sc  0.575  0.932  0.223
Sc  0.785  0.785  0.783
Sc  0.932  0.575  0.223
Si  0.168  0.832  0.000
Si  0.832  0.168  0.000
Te  0.000  0.000  0.500
Te  0.341  0.659  0.500
Te  0.500  0.500  0.000
Te  0.659  0.341  0.500

Computed properties:
- Fermi-level density of states: 1.8 states/eV/f.u.
- E_form (uncorrected): -101 kJ per mole of atoms
- V: 23.89 A^3/atom

A relaxed structure of ScSiTe2. Source: Alexandria, functional GGA-PBE.

Lattice parameters (Å, degrees): 4.088 4.088 21.070 90.00 90.00 120.00
Fractional positions:
Sc  0.000  0.000  0.000
Sc  0.333  0.667  0.667
Sc  0.667  0.333  0.333
Si  0.000  0.000  0.500
Si  0.333  0.667  0.167
Si  0.667  0.333  0.833
Te  0.000  0.000  0.247
Te  0.000  0.000  0.753
Te  0.333  0.667  0.420
Te  0.333  0.667  0.913
Te  0.667  0.333  0.087
Te  0.667  0.333  0.580

Computed properties:
- Fermi-level density of states: 3.7 states/eV/f.u.
- E_form (uncorrected): -33 kJ per mole of atoms
- V: 25.41 A^3/atom

A relaxed structure of Sc2SiTe2. Source: Alexandria, functional GGA-PBE.

Lattice parameters (Å, degrees): 7.705 7.705 3.934 90.00 90.00 90.00
Fractional positions:
Sc  0.157  0.343  0.000
Sc  0.343  0.843  0.000
Sc  0.657  0.157  0.000
Sc  0.843  0.657  0.000
Si  0.000  0.000  0.000
Si  0.500  0.500  0.000
Te  0.150  0.650  0.500
Te  0.350  0.150  0.500
Te  0.650  0.850  0.500
Te  0.850  0.350  0.500

Computed properties:
- Fermi-level density of states: 3.6 states/eV/f.u.
- E_form (uncorrected): -60 kJ per mole of atoms
- V: 23.35 A^3/atom
- ΔE to the lowest computed polymorph: 0 meV per atom

A relaxed structure of Sc7Si2Te2. Source: Alexandria, functional GGA-PBE.

Lattice parameters (Å, degrees): 8.437 8.437 8.437 152.57 69.85 117.19
Fractional positions:
Sc  0.000  0.000  0.000
Sc  0.068  0.384  0.685
Sc  0.104  0.756  0.349
Sc  0.407  0.756  0.651
Sc  0.465  0.597  0.868
Sc  0.699  0.384  0.315
Sc  0.730  0.597  0.132
Si  0.308  0.076  0.232
Si  0.844  0.076  0.768
Te  0.340  0.340  0.000
Te  0.739  0.239  0.500

Computed properties:
- Fermi-level density of states: 11.3 states/eV/f.u.
- E_form (uncorrected): -76 kJ per mole of atoms
- V: 22.12 A^3/atom

A relaxed structure of Sc2SiTe. Source: Alexandria, functional GGA-PBE.

Lattice parameters (Å, degrees): 4.118 5.517 7.638 90.00 90.00 90.00
Fractional positions:
Sc  0.000  0.000  0.234
Sc  0.000  0.000  0.766
Sc  0.500  0.500  0.266
Sc  0.500  0.500  0.734
Si  0.000  0.500  0.500
Si  0.500  0.000  0.000
Te  0.000  0.500  0.000
Te  0.500  0.000  0.500

Computed properties:
- Fermi-level density of states: 1.8 states/eV/f.u.
- E_form (uncorrected): -61 kJ per mole of atoms
- V: 21.69 A^3/atom
- ΔE to the lowest computed polymorph: 306 meV per atom

A relaxed structure of ScSi2Te. Source: Alexandria, functional GGA-PBE.

Lattice parameters (Å, degrees): 4.783 4.783 3.509 90.00 90.00 90.00
Fractional positions:
Sc  0.000  0.000  0.000
Si  0.000  0.500  0.500
Si  0.500  0.000  0.500
Te  0.500  0.500  0.000

Computed properties:
- Fermi-level density of states: 2.2 states/eV/f.u.
- E_form (uncorrected): 1 kJ per mole of atoms
- V: 20.07 A^3/atom

A relaxed structure of Sc2Si2Te. Source: Alexandria, functional GGA-PBE.

Lattice parameters (Å, degrees): 3.664 3.664 15.113 90.00 90.00 90.00
Fractional positions:
Sc  0.000  0.000  0.112
Sc  0.000  0.000  0.888
Sc  0.500  0.500  0.388
Sc  0.500  0.500  0.612
Si  0.000  0.500  0.250
Si  0.000  0.500  0.750
Si  0.500  0.000  0.250
Si  0.500  0.000  0.750
Te  0.000  0.000  0.500
Te  0.500  0.500  0.000

Computed properties:
- Fermi-level density of states: 2.7 states/eV/f.u.
- E_form (uncorrected): -70 kJ per mole of atoms
- V: 20.29 A^3/atom
- ΔE to the lowest computed polymorph: 0 meV per atom